Here is PrFe2MoO6 after structural relaxation from Alexandria via LeMat-Bulk. Energies are from PBE with a Hubbard U.

Volume ... 12.89 Å³/atom
Uncorrected energy ... -7.230 eV per atom
Space group ... P1 (1)

abc: 5.4605 5.5141 5.7726
angles: 61.52 88.64 61.11
With the nearest neighbours (Å) after each atom.
Sites, in units of the cell vectors:
Pr: 0.0000 0.0000 0.0000  5 O 2.31-2.53
Fe: 0.2842 0.4316 0.8321  6 O 2.08-2.28
Fe: 0.7856 0.4378 0.3539  5 O 2.07-2.26
Mo: 0.4888 0.0265 0.4479  5 O 1.89-2.09
O: 0.0984 0.4822 0.1612  2 Fe 2.07-2.20, 1 Mo 2.15, 1 Pr 2.31
O: 0.2303 0.9257 0.6344  1 Mo 1.89
O: 0.4333 0.9202 0.1691  1 Mo 2.03, 2 Fe 2.09-2.24
O: 0.5739 0.2231 0.6446  2 Fe 2.08-2.21, 1 Mo 2.09
O: 0.6459 0.2626 0.1682  1 Mo 2.01, 1 Fe 2.10
O: 0.8658 0.5941 0.6264  1 Mo 2.00, 1 Fe 2.14